[1]
GGA-PBE Ho4CoPd3, relaxed; raw total energy = -5.844 eV/atom; energy of formation = -719 meV/atom
1.0
3.4205 0.0000 0.0000
0.0000 3.4205 0.0000
0.0000 0.0000 14.0001
Ho Co Pd
4 1 3
Direct
0.0000 0.0000 0.3715 Ho
0.0000 0.0000 0.6285 Ho
0.0000 0.0000 0.8852 Ho
0.0000 0.0000 0.1148 Ho
0.5000 0.5000 0.0000 Co
0.5000 0.5000 0.2454 Pd
0.5000 0.5000 0.5000 Pd
0.5000 0.5000 0.7546 Pd



[2]
GGA-PBE ScH, relaxed; raw total energy = -5.333 eV/atom
1.0
-3.0577 1.3156 0.1683
0.4301 -3.0636 -1.2400
-1.8801 -6.2676 14.8331
Sc H
6 6
Direct
0.0000 0.0000 0.5000 Sc
0.6667 0.3333 0.8333 Sc
0.6667 0.3333 0.3333 Sc
0.3333 0.6667 0.6667 Sc
0.3333 0.6667 0.1667 Sc
0.0000 0.0000 0.0000 Sc
0.0000 0.0000 0.8753 H
0.3333 0.6667 0.7914 H
0.6667 0.3333 0.2086 H
0.6667 0.3333 0.4581 H
0.0000 0.0000 0.1247 H
0.3333 0.6667 0.5419 H



[3]
GGA-PBE NaIn3Ni, relaxed; polymorph energy (0 for the lowest one) = 0.016 eV per atom; raw total energy = -3.150 eV/atom; energy of formation = -87 meV/atom
1.0
5.0163 0.0000 0.0000
0.0000 5.0163 0.0000
0.0000 0.0000 5.0163
In Na Ni
3 1 1
Direct
0.0000 0.0000 0.5000 In
0.0000 0.5000 0.0000 In
0.5000 0.0000 0.0000 In
0.5000 0.5000 0.5000 Na
0.0000 0.0000 0.0000 Ni



[4]
GGA-PBE Ba2AcIO6, relaxed; raw total energy = -5.961 eV/atom; formation energy from raw total energies = -20.36 eV/f.u.
1.0
6.4011 0.0000 0.0000
3.2005 5.5435 0.0000
3.2005 1.8478 5.2264
Ba O I Ac
2 6 1 1
Direct
0.7500 0.7500 0.7500 Ba
0.2500 0.2500 0.2500 Ba
0.7663 0.7663 0.2337 O
0.2337 0.2337 0.7663 O
0.7663 0.2337 0.2337 O
0.2337 0.7663 0.2337 O
0.7663 0.2337 0.7663 O
0.2337 0.7663 0.7663 O
0.0000 0.0000 0.0000 I
0.5000 0.5000 0.5000 Ac



[5]
GGA-PBE CsCe2OsO8, relaxed; raw total energy = -7.436 eV/atom; formation energy from raw total energies = -25.61 eV/f.u.
1.0
-1.0105 -2.4984 4.7108
-0.5072 -5.4926 -2.5451
6.3101 -4.4671 -0.9545
O Ce Os Cs
8 2 1 1
Direct
0.2997 0.0798 0.0918 O
0.5134 0.3110 0.4692 O
0.1944 0.7515 0.9874 O
0.0814 0.2551 0.7335 O
0.7003 0.9202 0.9082 O
0.8056 0.2485 0.0126 O
0.4866 0.6890 0.5308 O
0.9186 0.7449 0.2665 O
0.4800 0.3103 0.7520 Ce
0.5200 0.6897 0.2480 Ce
0.0000 0.0000 0.0000 Os
0.0000 0.0000 0.5000 Cs



[6]
GGA-PBE AcMg6Sn4, relaxed; raw total energy = -2.950 eV/atom; energy of formation = -251 meV/atom
1.0
4.5884 0.0000 0.0000
0.0000 8.5001 0.0000
0.0000 -4.2500 7.3613
Mg Sn Ac
6 4 1
Direct
0.5000 0.2034 0.7966 Mg
0.5000 0.2034 0.4068 Mg
0.5000 0.5932 0.7966 Mg
0.0000 0.5374 0.4626 Mg
0.0000 0.5374 0.0749 Mg
0.0000 0.9251 0.4626 Mg
0.5000 0.8117 0.1883 Sn
0.5000 0.3767 0.1883 Sn
0.0000 0.3333 0.6667 Sn
0.5000 0.8117 0.6233 Sn
0.0000 0.0000 0.0000 Ac



[7]
GGA-PBE CdAg2I2, relaxed; raw total energy = -2.002 eV/atom; formation energy from raw total energies = -0.29 eV/f.u.
1.0
-4.1786 -0.5405 1.4465
1.5130 -0.5992 4.1469
-1.9632 8.3803 4.3199
Ag I Cd
2 2 1
Direct
0.2500 0.7500 0.5000 Ag
0.7500 0.2500 0.5000 Ag
0.6463 0.6463 0.7075 I
0.3537 0.3537 0.2925 I
0.0000 0.0000 0.0000 Cd



[8]
GGA-PBE BaNd2Ag, relaxed; polymorph energy (0 for the lowest one) = 0.202 eV per atom; raw total energy = -3.369 eV/atom; energy of formation = 208 meV/atom
1.0
-2.4987 -2.8030 -0.0187
1.1195 -3.5178 0.6872
-2.4118 -0.4448 11.9108
Nd Ba Ag
2 1 1
Direct
0.8968 0.8968 0.3095 Nd
0.1032 0.1032 0.6905 Nd
0.0000 0.0000 0.0000 Ba
0.5000 0.5000 0.5000 Ag